Version w
Compound: Cu3MoN
Source: Alexandria via LeMat-Bulk
Functional: PBE
Structure: optimized geometry

The space group is Pm-3m (No. 221) and the conventional cell measures 4.643, 4.643 and 4.643 Å, with angles of 90.00, 90.00 and 90.00 degrees. The asymmetric unit holds Cu at (0.000, 0.000, 0.500), Mo at (0.000, 0.000, 0.000) and N at (0.500, 0.500, 0.500).

The total magnetization comes out at 0.00 μB per formula unit. As for the density of states at the Fermi level: 1.257 states/eV/atom.

---

Version x
Compound: Cu3MoN
Source: Alexandria via LeMat-Bulk
Functional: PBE
Structure: optimized geometry

The space group is Pm-3m (No. 221) and the conventional cell measures 3.908, 3.908 and 3.908 Å, with angles of 90.00, 90.00 and 90.00 degrees. The asymmetric unit holds Cu at (0.000, 0.000, 0.500), Mo at (0.500, 0.500, 0.500) and N at (0.000, 0.000, 0.000).

The total magnetization comes out at 0.00 μB per formula unit. As for the density of states at the Fermi level: 0.761 states/eV/atom.

---

Ranking the structures above from most stable to least stable yields version x, version w.